Version w
GdAsIrO, optimized geometry, DFT PBE; crystal system = orthorhombic; space-group type = Pmc2_1; total magnetization = 0.01 μB/cell
1.0
3.1689 0.0000 0.0000
0.0000 7.9752 0.0000
0.0000 0.0000 5.3395
Gd As Ir O
2 2 2 2
Direct
0.0000 0.1319 0.0000
0.0000 0.8681 0.5000
0.0000 0.4795 0.3343
0.0000 0.5205 0.8343
0.5000 0.2649 0.4567
0.5000 0.7351 0.9567
0.5000 0.0506 0.6867
0.5000 0.9494 0.1867

Version x
GdAsIrO, optimized geometry, DFT PBE; crystal system = tetragonal; space-group type = P4/nmm; total magnetization = 0.00 μB/cell
1.0
4.0451 0.0000 0.0000
0.0000 4.0451 0.0000
0.0000 0.0000 8.1681
Gd As Ir O
2 2 2 2
Direct
0.2500 0.2500 0.1333
0.7500 0.7500 0.8667
0.2500 0.2500 0.6745
0.7500 0.7500 0.3255
0.2500 0.7500 0.5000
0.7500 0.2500 0.5000
0.2500 0.7500 0.0000
0.7500 0.2500 0.0000

Version y
GdAsIrO, optimized geometry, DFT PBE; crystal system = tetragonal; space-group type = P4/nmm; total magnetization = 0.00 μB/cell
1.0
4.5305 0.0000 0.0000
0.0000 4.5305 0.0000
0.0000 0.0000 6.9309
Gd As Ir O
2 2 2 2
Direct
0.2500 0.7500 0.0000
0.7500 0.2500 0.0000
0.2500 0.2500 0.4141
0.7500 0.7500 0.5859
0.2500 0.2500 0.7702
0.7500 0.7500 0.2298
0.2500 0.7500 0.5000
0.7500 0.2500 0.5000

Version z
GdAsIrO, optimized geometry, DFT PBE; crystal system = orthorhombic; space-group type = Pmc2_1; total magnetization = 0.00 μB/cell
1.0
4.4349 0.0000 0.0000
0.0000 4.2354 0.0000
0.0000 0.0000 7.1401
Gd As Ir O
2 2 2 2
Direct
0.0000 0.2396 0.0000
0.0000 0.7604 0.5000
0.5000 0.2300 0.6748
0.5000 0.7700 0.1748
0.5000 0.2736 0.3373
0.5000 0.7264 0.8373
0.0000 0.2644 0.3351
0.0000 0.7356 0.8351

Bottom line: version x, by a margin of 543 meV/atom.

Version w
KGdAsO, optimized geometry, DFT PBE; crystal system = orthorhombic; space-group type = Pmc2_1; total magnetization = 0.00 μB/cell
1.0
4.9358 0.0000 0.0000
0.0000 6.8631 0.0000
0.0000 0.0000 5.9924
K Gd As O
2 2 2 2
Direct
0.0000 0.1270 0.0000
0.0000 0.8730 0.5000
0.5000 0.2218 0.5010
0.5000 0.7782 0.0010
0.0000 0.4390 0.4442
0.0000 0.5610 0.9442
0.5000 0.0068 0.7604
0.5000 0.9932 0.2604

Version x
KGdAsO, optimized geometry, DFT PBE; crystal system = tetragonal; space-group type = P4/nmm; total magnetization = 0.03 μB/cell
1.0
5.8586 0.0000 0.0000
0.0000 5.8586 0.0000
0.0000 0.0000 5.2281
K Gd As O
2 2 2 2
Direct
0.2500 0.2500 0.0013
0.7500 0.7500 0.9987
0.2500 0.7500 0.5000
0.7500 0.2500 0.5000
0.2500 0.2500 0.5012
0.7500 0.7500 0.4988
0.2500 0.7500 0.0000
0.7500 0.2500 0.0000

Bottom line: version w, by a margin of 556 meV/atom.

Version w
GdLuAsO, optimized geometry, DFT PBE; crystal system = tetragonal; space-group type = P4/nmm; total magnetization = 0.01 μB/cell
1.0
4.3158 0.0000 0.0000
0.0000 4.3158 0.0000
0.0000 0.0000 8.7049
Gd Lu As O
2 2 2 2
Direct
0.2500 0.2500 0.1070
0.7500 0.7500 0.8930
0.2500 0.7500 0.5000
0.7500 0.2500 0.5000
0.2500 0.2500 0.6989
0.7500 0.7500 0.3011
0.2500 0.7500 0.0000
0.7500 0.2500 0.0000

Version x
GdLuAsO, optimized geometry, DFT PBE; crystal system = tetragonal; space-group type = P4/nmm; total magnetization = 0.01 μB/cell
1.0
4.2842 0.0000 0.0000
0.0000 4.2842 0.0000
0.0000 0.0000 8.7196
Gd Lu As O
2 2 2 2
Direct
0.2500 0.7500 0.0000
0.7500 0.2500 0.0000
0.2500 0.2500 0.4079
0.7500 0.7500 0.5921
0.2500 0.2500 0.7846
0.7500 0.7500 0.2154
0.2500 0.7500 0.5000
0.7500 0.2500 0.5000

Bottom line: version w, by a margin of 111 meV/atom.

Version w
GdAsNO, optimized geometry, DFT PBE; crystal system = tetragonal; space-group type = P4/nmm; total magnetization = 0.00 μB/cell
1.0
4.8984 0.0000 0.0000
0.0000 4.8984 0.0000
0.0000 0.0000 4.7428
Gd As N O
2 2 2 2
Direct
0.2500 0.7500 0.0000
0.7500 0.2500 0.0000
0.2500 0.2500 0.4766
0.7500 0.7500 0.5234
0.2500 0.2500 0.0869
0.7500 0.7500 0.9131
0.2500 0.7500 0.5000
0.7500 0.2500 0.5000

Version x
GdAsNO, optimized geometry, DFT PBE; crystal system = tetragonal; space-group type = P4/nmm; total magnetization = 0.00 μB/cell
1.0
4.2342 0.0000 0.0000
0.0000 4.2342 0.0000
0.0000 0.0000 7.0625
Gd As N O
2 2 2 2
Direct
0.2500 0.2500 0.1401
0.7500 0.7500 0.8599
0.2500 0.7500 0.5000
0.7500 0.2500 0.5000
0.2500 0.2500 0.4783
0.7500 0.7500 0.5217
0.2500 0.7500 0.0000
0.7500 0.2500 0.0000

Version y
GdAsNO, optimized geometry, DFT PBE; crystal system = orthorhombic; space-group type = Pmc2_1; total magnetization = 0.00 μB/cell
1.0
3.9929 0.0000 0.0000
0.0000 6.0494 0.0000
0.0000 0.0000 5.9365
Gd As N O
2 2 2 2
Direct
0.0000 0.2054 0.0000
0.0000 0.7946 0.5000
0.5000 0.3345 0.6088
0.5000 0.6655 0.1088
0.5000 0.4131 0.9280
0.5000 0.5869 0.4280
0.0000 0.1015 0.3343
0.0000 0.8985 0.8343

Version z
GdAsNO, optimized geometry, DFT PBE; crystal system = orthorhombic; space-group type = Pmc2_1; total magnetization = 0.01 μB/cell
1.0
3.7826 0.0000 0.0000
0.0000 5.0594 0.0000
0.0000 0.0000 5.7620
Gd As N O
2 2 2 2
Direct
0.0000 0.1759 0.0000
0.0000 0.8241 0.5000
0.5000 0.3697 0.5214
0.5000 0.6303 0.0214
0.0000 0.3029 0.6092
0.0000 0.6971 0.1092
0.5000 0.1042 0.2848
0.5000 0.8958 0.7848

Bottom line: version x, by a margin of 20 meV/atom.

Version w
GdAsNO, optimized geometry, DFT PBE; crystal system = orthorhombic; space-group type = Pca2_1; total magnetization = 0.01 μB/cell
1.0
5.4141 0.0000 0.0000
0.0000 7.7560 0.0000
0.0000 0.0000 5.9251
Gd As N O
4 4 4 4
Direct
0.0073 0.1385 0.0000
0.4927 0.1385 0.5000
0.5073 0.8615 0.0000
0.9927 0.8615 0.5000
0.0325 0.3822 0.5327
0.4675 0.3822 0.0327
0.5325 0.6178 0.5327
0.9675 0.6178 0.0327
0.1937 0.5907 0.5326
0.3063 0.5907 0.0326
0.6937 0.4093 0.5326
0.8063 0.4093 0.0326
0.2478 0.9880 0.2495
0.2522 0.9880 0.7495
0.7478 0.0120 0.2495
0.7522 0.0120 0.7495

Version x
GdAsNO, optimized geometry, DFT PBE; crystal system = orthorhombic; space-group type = Pca2_1; total magnetization = 0.01 μB/cell
1.0
6.6067 0.0000 0.0000
0.0000 7.0015 0.0000
0.0000 0.0000 5.6218
Gd As N O
4 4 4 4
Direct
0.0836 0.1739 0.0000
0.4164 0.1739 0.5000
0.5836 0.8261 0.0000
0.9164 0.8261 0.5000
0.1543 0.7076 0.0426
0.3457 0.7076 0.5426
0.6543 0.2924 0.0426
0.8457 0.2924 0.5426
0.0754 0.1352 0.5746
0.4246 0.1352 0.0746
0.5754 0.8648 0.5746
0.9246 0.8648 0.0746
0.0666 0.4739 0.0694
0.4334 0.4739 0.5694
0.5666 0.5261 0.0694
0.9334 0.5261 0.5694

Bottom line: version w, by a margin of 273 meV/atom.

Version w
NdGdAsO, optimized geometry, DFT PBE; crystal system = tetragonal; space-group type = P4/nmm; total magnetization = 0.08 μB/cell
1.0
4.3413 0.0000 0.0000
0.0000 4.3413 0.0000
0.0000 0.0000 9.2188
Nd Gd As O
2 2 2 2
Direct
0.2500 0.7500 0.0000
0.7500 0.2500 0.0000
0.2500 0.2500 0.4016
0.7500 0.7500 0.5984
0.2500 0.2500 0.7827
0.7500 0.7500 0.2173
0.2500 0.7500 0.5000
0.7500 0.2500 0.5000

Version x
NdGdAsO, optimized geometry, DFT PBE; crystal system = tetragonal; space-group type = P4/nmm; total magnetization = 0.06 μB/cell
1.0
4.4223 0.0000 0.0000
0.0000 4.4223 0.0000
0.0000 0.0000 9.0929
Nd Gd As O
2 2 2 2
Direct
0.2500 0.2500 0.1069
0.7500 0.7500 0.8931
0.2500 0.7500 0.5000
0.7500 0.2500 0.5000
0.2500 0.2500 0.7006
0.7500 0.7500 0.2994
0.2500 0.7500 0.0000
0.7500 0.2500 0.0000

Bottom line: version x, by a margin of 66 meV/atom.

Version w
NdGdAsO, optimized geometry, DFT PBE; crystal system = orthorhombic; space-group type = Pmc2_1; total magnetization = 0.47 μB/cell
1.0
4.2106 0.0000 0.0000
0.0000 7.9909 0.0000
0.0000 0.0000 5.8521
Nd Gd As O
2 2 2 2
Direct
0.0000 0.1168 0.0000
0.0000 0.8832 0.5000
0.5000 0.2947 0.4468
0.5000 0.7053 0.9468
0.5000 0.3506 0.9425
0.5000 0.6494 0.4425
0.0000 0.1782 0.3996
0.0000 0.8218 0.8996

Version x
NdGdAsO, optimized geometry, DFT PBE; crystal system = orthorhombic; space-group type = Pmc2_1; total magnetization = 0.02 μB/cell
1.0
4.3228 0.0000 0.0000
0.0000 7.6257 0.0000
0.0000 0.0000 6.1739
Nd Gd As O
2 2 2 2
Direct
0.0000 0.2021 0.0000
0.0000 0.7979 0.5000
0.5000 0.3932 0.5832
0.5000 0.6068 0.0832
0.0000 0.1764 0.4909
0.0000 0.8236 0.9909
0.5000 0.3321 0.9385
0.5000 0.6679 0.4385

Bottom line: version x, by a margin of 37 meV/atom.

Version w
GdPaAsO, optimized geometry, DFT PBE; crystal system = orthorhombic; space-group type = Pmc2_1; total magnetization = 2.40 μB/cell
1.0
4.1125 0.0000 0.0000
0.0000 8.0624 0.0000
0.0000 0.0000 5.8699
Gd Pa As O
2 2 2 2
Direct
0.0000 0.2121 0.0000
0.0000 0.7879 0.5000
0.5000 0.3904 0.5266
0.5000 0.6096 0.0266
0.0000 0.1440 0.4998
0.0000 0.8560 0.9998
0.5000 0.3274 0.9327
0.5000 0.6726 0.4327

Version x
GdPaAsO, optimized geometry, DFT PBE; crystal system = tetragonal; space-group type = P4/nmm; total magnetization = 2.05 μB/cell
1.0
4.2070 0.0000 0.0000
0.0000 4.2070 0.0000
0.0000 0.0000 9.2414
Gd Pa As O
2 2 2 2
Direct
0.2500 0.7500 0.0000
0.7500 0.2500 0.0000
0.2500 0.2500 0.3679
0.7500 0.7500 0.6321
0.2500 0.2500 0.7742
0.7500 0.7500 0.2258
0.2500 0.7500 0.5000
0.7500 0.2500 0.5000

Bottom line: version x, by a margin of 20 meV/atom.